A plane-wave DFT calculation with PBE was carried out for a relaxed structure of KTcAs.

Unit cell a=7.0178 b=7.0178 c=7.0178 alpha=90.00 beta=90.00 gamma=90.00
With the nearest neighbours (Å) after each atom.
Positions (direct):
K  0.0000  0.0000  0.0000  4 As 3.04, 4 Tc 3.04
K  0.0000  0.5000  0.5000  4 As 3.04, 4 Tc 3.04
K  0.5000  0.0000  0.5000  4 As 3.04, 4 Tc 3.04
K  0.5000  0.5000  0.0000  4 As 3.04, 4 Tc 3.04
Tc  0.2500  0.2500  0.2500  4 K 3.04
Tc  0.2500  0.7500  0.7500  4 K 3.04
Tc  0.7500  0.2500  0.7500  4 K 3.04
Tc  0.7500  0.7500  0.2500  4 K 3.04
As  0.2500  0.2500  0.7500  4 K 3.04
As  0.2500  0.7500  0.2500  4 K 3.04
As  0.7500  0.2500  0.2500  4 K 3.04
As  0.7500  0.7500  0.7500  4 K 3.04

SG ... F-43m
Total energy ... -43.2 eV per cell